1.
Here is an optimized crystal structure of BaMg2Al2Zn from Alexandria. Energies are from GGA-PBE.

abc: 4.953 4.953 6.521
angles: 90.00 90.00 90.00
Space group P4/mmm (No. 123)
One atom of each set of equivalent atoms:
Ba: 0.000 0.000 0.000 [1 per cell]
Mg: 0.500 0.500 0.237 [2 per cell]
Al: 0.000 0.500 0.500 [2 per cell]
Zn: 0.000 0.000 0.500 [1 per cell]

Summary:
Its formation energy is 2.2 kJ/mol of atoms.

---

2.
Here is an optimized crystal structure of SrNb2AgGe from Alexandria. Energies are from GGA-PBE.

abc: 4.910 4.910 5.722
angles: 90.00 90.00 90.00
Space group P4/mmm (No. 123)
One atom of each set of equivalent atoms:
Sr: 0.000 0.000 0.000 [1 per cell]
Nb: 0.000 0.500 0.500 [2 per cell]
Ag: 0.500 0.500 0.000 [1 per cell]
Ge: 0.000 0.000 0.500 [1 per cell]

Summary:
Its formation energy is 82.3 kJ/mol of atoms.